# GdInRh4 (PBE-GGA, relaxed)
# **Space group**: F-43m, No. 216
# **D(E_F)**: 1.06 states/eV per atom
# **Magnetization**: 7.01 μB per formula unit
# **E_form**: -273 kJ/mol of formula units
data_GdInRh4
_cell_length_a 5.299
_cell_length_b 5.299
_cell_length_c 5.299
_cell_angle_alpha 60.00
_cell_angle_beta 60.00
_cell_angle_gamma 60.00
_space_group_name_H-M_alt 'P 1'
_space_group_IT_number 1
_space_group_name_Hall 'P 1'
loop_
_atom_site_label
_atom_site_fract_x
_atom_site_fract_y
_atom_site_fract_z
Gd1 0.000 0.000 0.000
In1 0.750 0.750 0.750
Rh1 0.376 0.376 0.376
Rh2 0.376 0.376 0.873
Rh3 0.376 0.873 0.376
Rh4 0.873 0.376 0.376